Entry 1:
Compound: ZnPdPtO4
Source: Alexandria
Functional: PBE-GGA
Structure: relaxed

Output
Raw total energy = -5.14 eV per atom
Spin magnetization = 0.000 μB per atom

a = 5.8858 Å, b = 6.5381 Å, c = 6.0126 Å
α = 117.37°, β = 90.00°, γ = 116.75°
Closest atoms and distances in Å follow each position.
Atoms (fractional coordinates):
1 Pd 0.5000 0.0000 0.5000  6 O 2.06-2.11
2 Pd 0.5000 0.0000 0.0000  6 O 2.06-2.11
3 Zn 0.1567 0.3134 0.9067  4 O 1.98-2.14
4 Pt 0.5000 0.5000 0.5000  4 O 2.02
5 O 0.2307 0.9244 0.2122  1 Zn 1.98, 2 Pd 2.06
6 Zn 0.8433 0.6866 0.0933  4 O 1.98-2.14
7 O 0.6936 0.9244 0.2122  1 Zn 1.98, 2 Pd 2.06
8 O 0.7101 0.4203 0.6814  2 Pt 2.02, 1 Pd 2.11, 1 Zn 2.14
9 Pt 0.0000 0.5000 0.5000  4 O 2.02
10 O 0.7101 0.4203 0.2389  2 Pt 2.02, 1 Pd 2.11, 1 Zn 2.14
11 O 0.2899 0.5797 0.7611  2 Pt 2.02, 1 Pd 2.11, 1 Zn 2.14
12 O 0.7693 0.0756 0.7878  1 Zn 1.98, 2 Pd 2.06
13 O 0.3064 0.0756 0.7878  1 Zn 1.98, 2 Pd 2.06
14 O 0.2899 0.5797 0.3186  2 Pt 2.02, 1 Pd 2.11, 1 Zn 2.14

---

Entry 2:
Compound: Pu2PdO8
Source: Alexandria
Functional: PBE-GGA
Structure: relaxed

Output
Raw total energy = -8.44 eV per atom
Spin magnetization = 0.364 μB per atom

a = 5.0151 Å, b = 5.6826 Å, c = 5.6826 Å
α = 74.32°, β = 103.13°, γ = 103.13°
Closest atoms and distances in Å follow each position.
Atoms (fractional coordinates):
1 O 0.2876 0.3287 0.9239  1 Pd 2.09, 2 Pu 2.17-2.26
2 O 0.2079 0.8233 0.8233  1 Pu 1.84
3 Pd 0.0000 0.0000 0.0000  6 O 2.09-2.14
4 O 0.7124 0.0761 0.6713  1 Pd 2.09, 2 Pu 2.17-2.26
5 O 0.7124 0.6713 0.0761  1 Pd 2.09, 2 Pu 2.17-2.26
6 O 0.2776 0.3940 0.3940  1 Pu 1.82
7 Pu 0.5426 0.2917 0.2917  2 O 1.82-1.84
8 O 0.7921 0.1767 0.1767  1 Pu 1.84
9 O 0.7224 0.6060 0.6060  1 Pu 1.82
10 Pu 0.4574 0.7083 0.7083  2 O 1.82-1.84
11 O 0.2876 0.9239 0.3287  1 Pd 2.09, 2 Pu 2.17-2.26

---

Entry 3:
Compound: Pu2PdO
Source: Alexandria
Functional: PBE-GGA
Structure: relaxed

Output
Raw total energy = -10.77 eV per atom
Spin magnetization = 3.005 μB per atom

a = 3.1090 Å, b = 3.1090 Å, c = 7.4257 Å
α = 90.00°, β = 90.00°, γ = 90.00°
Closest atoms and distances in Å follow each position.
Atoms (fractional coordinates):
1 O 0.5000 0.5000 0.0000  8 Pu 2.69
2 Pu 0.0000 0.0000 0.7909  4 O 2.69
3 Pd 0.5000 0.5000 0.5000  8 Pu 3.08, 4 Pd 3.11
4 Pu 0.0000 0.0000 0.2091  4 O 2.69

---

Record order is preserved below.
Energy relative to the elements, uncorrected: -0.517; -1.759; -1.070 eV/atom